Compound: BaPaPdO5
Source: Alexandria via LeMat-Bulk
Functional: PBE-GGA
Structure: relaxed

Computed properties:
Spin magnetization, μB/f.u.: 1.02
Symmetry: C2/c
Energy relative to the elements, uncorrected, meV/atom: -2274
Crystal system: monoclinic

Cell: 6.1981 6.1981 8.1688 Å, 98.69 98.69 116.04°
Last column: nearest neighbours and their distance in Å.
Atoms (fractional coordinates):
Ba (0.1760, 0.8240, 0.7500)  7 O 2.68-2.96
Ba (0.8240, 0.1760, 0.2500)  7 O 2.68-2.96
Pa (0.5000, 0.5000, 0.0000)  6 O 2.16-2.19
Pa (0.5000, 0.5000, 0.5000)  6 O 2.16-2.19
Pd (0.1697, 0.8303, 0.2500)  4 O 2.03-2.04
Pd (0.8303, 0.1697, 0.7500)  4 O 2.03-2.04
O (0.1194, 0.1971, 0.9220)  1 Pd 2.03, 1 Pa 2.19
O (0.1971, 0.1194, 0.4220)  1 Pd 2.03, 1 Pa 2.19
O (0.2607, 0.6538, 0.4186)  1 Pd 2.04, 1 Pa 2.16
O (0.3462, 0.7393, 0.0814)  1 Pd 2.04, 1 Pa 2.16
O (0.4309, 0.5691, 0.7500)  2 Pa 2.17
O (0.5691, 0.4309, 0.2500)  2 Pa 2.17
O (0.6538, 0.2607, 0.9186)  1 Pd 2.04, 1 Pa 2.16
O (0.7393, 0.3462, 0.5814)  1 Pd 2.04, 1 Pa 2.16
O (0.8029, 0.8806, 0.5780)  1 Pd 2.03, 1 Pa 2.19
O (0.8806, 0.8029, 0.0780)  1 Pd 2.03, 1 Pa 2.19

Compound: BaPaPd2O8
Source: Alexandria via LeMat-Bulk
Functional: PBE-GGA
Structure: relaxed

Computed properties:
Spin magnetization, μB/f.u.: 0.89
Symmetry: I-4m2
Energy relative to the elements, uncorrected, meV/atom: -1336
Crystal system: tetragonal

Cell: 6.3766 6.3766 6.3766 Å, 106.96 106.96 114.61°
Last column: nearest neighbours and their distance in Å.
Atoms (fractional coordinates):
Ba (0.0000, 0.0000, 0.0000)  8 O 2.60-2.72
Pa (0.2500, 0.7500, 0.5000)  8 O 2.28-2.30
Pd (0.5000, 0.5000, 0.0000)  4 O 1.97
Pd (0.7500, 0.2500, 0.5000)  4 O 1.93
O (0.3238, 0.1199, 0.7961)  1 Pd 1.97
O (0.3238, 0.5278, 0.2039)  1 Pd 1.97
O (0.3726, 0.0308, 0.3418)  1 Pd 1.93
O (0.4722, 0.6762, 0.7961)  1 Pd 1.97
O (0.6890, 0.0308, 0.6582)  1 Pd 1.93
O (0.8801, 0.6762, 0.2039)  1 Pd 1.97
O (0.9692, 0.3110, 0.3418)  1 Pd 1.93
O (0.9692, 0.6274, 0.6582)  1 Pd 1.93